Entry 1:
Below is a crystal of Zr3Re relaxed with PBEsol, with properties calculated at the meta-GGA SCAN level.

Cell: 3.3300 4.8485 9.8064 Å, 90.00 90.00 90.00°
Last column: nearest neighbours and their distance in Å.
Space group Immm (No. 71)
Inequivalent atoms, fractional coordinates:
Zr  0.0000  0.0000  0.0000  4 Re 2.94, 8 Zr 3.21-3.25
Zr  0.0000  0.5000  0.2207  2 Re 2.73, 4 Zr 3.00
Re  0.0000  0.0000  0.5000  8 Zr 2.73-2.94

Computed properties:
- DOS at the Fermi energy (states/eV per atom) = 0.839

Entry 2:
Below is a crystal of Zr2Re relaxed with PBEsol, with properties calculated at the meta-GGA SCAN level.

Cell: 3.3039 14.3598 4.8055 Å, 90.00 90.00 90.00°
Last column: nearest neighbours and their distance in Å.
Space group Cmcm (No. 63)
Inequivalent atoms, fractional coordinates:
Zr  0.0000  0.0760  0.2500  6 Re 2.78-2.92
Zr  0.0000  0.2291  0.7500  2 Re 2.71, 4 Zr 2.98
Re  0.0000  0.4204  0.2500  8 Zr 2.71-2.92

Computed properties:
- DOS at the Fermi energy (states/eV per atom) = 0.625

Sequential formation energy output: -0.217 -0.268 eV/atom